#one
BiP2Pb2: relaxed, GGA-PBE.

a b c (Å): 3.472 3.472 21.326
angles (deg): 90.00 90.00 90.00
Fractional positions:
Bi (0.000, 0.000, 0.000)
Bi (0.500, 0.500, 0.500)
P (0.000, 0.500, 0.250)
P (0.000, 0.500, 0.750)
P (0.500, 0.000, 0.250)
P (0.500, 0.000, 0.750)
Pb (0.000, 0.000, 0.377)
Pb (0.000, 0.000, 0.623)
Pb (0.500, 0.500, 0.123)
Pb (0.500, 0.500, 0.877)

Values from the calculation:
Magnetization: 0.00 μB per cell
Space-group type: No. 139

=====

#two
BiP2Pb2: relaxed, GGA-PBE.

a b c (Å): 8.065 8.065 4.051
angles (deg): 90.00 90.00 90.00
Fractional positions:
Bi (0.000, 0.000, 0.000)
Bi (0.500, 0.500, 0.000)
P (0.177, 0.323, 0.000)
P (0.323, 0.823, 0.000)
P (0.677, 0.177, 0.000)
P (0.823, 0.677, 0.000)
Pb (0.146, 0.646, 0.500)
Pb (0.354, 0.146, 0.500)
Pb (0.646, 0.854, 0.500)
Pb (0.854, 0.354, 0.500)

Values from the calculation:
Magnetization: 0.00 μB per cell
Space-group type: No. 127

=====

Q: Which of them is the most stable? A: #one.